Record 1
# NiAgP

NiAgP after structural relaxation (PBE, the Alexandria database).

- E_form (meV/atom) = -23
- relative energy among the computed polymorphs (meV per atom) = 100

abc: 3.7791 3.7791 3.6826
angles: 90.00 90.00 120.00
With the nearest neighbours (Å) after each atom.
Fractional positions:
Ag: 0.0000 0.0000 0.5000  6 Ni 2.85, 6 P 2.85
Ni: 0.6667 0.3333 0.0000  3 P 2.18
P: 0.3333 0.6667 0.0000  3 Ni 2.18

---

Record 2
# Ca2TbPrAu4

Ca2TbPrAu4 after structural relaxation (PBE, the Alexandria database).

- E_form (meV/atom) = -807

abc: 5.1583 5.1583 8.9521
angles: 73.26 73.26 60.00
With the nearest neighbours (Å) after each atom.
Fractional positions:
Tb: 0.5000 0.5000 0.5000  8 Au 3.08-3.14
Ca: 0.7506 0.7506 0.7481  8 Au 3.09-3.27
Au: 0.8727 0.8727 0.3819  4 Ca 3.09-3.17, 3 Tb 3.14, 1 Pr 3.22
Au: 0.1273 0.1273 0.6181  4 Ca 3.09-3.17, 3 Tb 3.14, 1 Pr 3.22
Pr: 0.0000 0.0000 0.0000  8 Au 3.19-3.22
Ca: 0.2494 0.2494 0.2519  8 Au 3.09-3.27
Au: 0.6216 0.6216 0.1352  1 Tb 3.08, 4 Ca 3.14-3.27, 3 Pr 3.19
Au: 0.3784 0.3784 0.8648  1 Tb 3.08, 4 Ca 3.14-3.27, 3 Pr 3.19

---

Record 3
# Ti3GaS

Ti3GaS after structural relaxation (PBE, the Alexandria database).

- relative energy among the computed polymorphs (meV per atom) = 0
- formation energy without anion corrections (meV/atom) = -595

abc: 4.4708 4.6094 8.1427
angles: 90.00 90.09 90.00
With the nearest neighbours (Å) after each atom.
Fractional positions:
Ti: 0.0012 0.7500 0.3044  2 S 2.34-2.35
Ti: 0.9988 0.2500 0.6956  2 S 2.34-2.35
S: 0.4984 0.2500 0.6089  6 Ti 2.34-2.51
Ga: 0.0003 0.2500 0.1081  6 Ti 2.73-2.80, 2 Ga 2.90
Ti: 0.5003 0.7500 0.0922  1 S 2.43
Ti: 0.4997 0.2500 0.9078  1 S 2.43
Ga: 0.9997 0.7500 0.8919  6 Ti 2.73-2.80, 2 Ga 2.90
Ti: 0.4992 0.7500 0.6997  3 S 2.42-2.51
Ti: 0.5008 0.2500 0.3003  3 S 2.42-2.51
S: 0.5016 0.7500 0.3911  6 Ti 2.34-2.51

---

Record 4
# Ta4RuRh6

Ta4RuRh6 after structural relaxation (PBE, the Alexandria database).

- E_form (meV/atom) = 6

abc: 5.1182 9.5519 9.5519
angles: 52.35 90.00 90.00
With the nearest neighbours (Å) after each atom.
Fractional positions:
Ta: 0.9114 0.7853 0.4585  1 Ru 2.54, 4 Rh 2.58-2.72
Rh: 0.5000 0.3405 0.6595  2 Ta 2.61, 1 Rh 2.69, 3 Ru 2.87-2.89
Ta: 0.0886 0.5415 0.2147  1 Ru 2.54, 4 Rh 2.58-2.72
Rh: 0.8098 0.5000 0.0000  4 Rh 2.56-2.75, 4 Ta 2.58-2.72
Ta: 0.4114 0.0415 0.7147  1 Ru 2.54, 4 Rh 2.58-2.72
Rh: 0.5000 0.6641 0.6641  2 Ta 2.62, 2 Rh 2.75
Rh: 0.0000 0.1641 0.1641  2 Ta 2.62, 2 Rh 2.75
Rh: 0.5000 0.6595 0.3405  2 Ta 2.61, 1 Rh 2.69, 3 Ru 2.87-2.89
Ta: 0.5886 0.2853 0.9585  1 Ru 2.54, 4 Rh 2.58-2.72
Rh: 0.0000 0.1595 0.8405  2 Ta 2.61, 1 Rh 2.69, 3 Ru 2.87-2.89
Rh: 0.0000 0.8359 0.8359  2 Ta 2.62, 2 Rh 2.75
Rh: 0.5000 0.3359 0.3359  2 Ta 2.62, 2 Rh 2.75
Ru: 0.5000 0.0000 0.0000  4 Ta 2.54
Rh: 0.1902 0.0000 0.5000  4 Rh 2.56-2.75, 4 Ta 2.58-2.72
Rh: 0.0000 0.8405 0.1595  2 Ta 2.61, 1 Rh 2.69, 3 Ru 2.87-2.89
Ta: 0.4114 0.9585 0.2853  1 Ru 2.54, 4 Rh 2.58-2.72
Rh: 0.3098 0.5000 0.0000  4 Rh 2.56-2.75, 4 Ta 2.58-2.72
Ru: 0.0000 0.5000 0.5000  4 Ta 2.54
Ta: 0.0886 0.4585 0.7853  1 Ru 2.54, 4 Rh 2.58-2.72
Ta: 0.9114 0.2147 0.5415  1 Ru 2.54, 4 Rh 2.58-2.72
Ta: 0.5886 0.7147 0.0415  1 Ru 2.54, 4 Rh 2.58-2.72
Rh: 0.6902 0.0000 0.5000  4 Rh 2.56-2.75, 4 Ta 2.58-2.72